Density functional theory data (GGA-PBEsol) for Al3Cu3Ni2 after structural relaxation. Values from VASP.

DFT formation energy = -0.37 eV/atom
Energy above the lowest structure with this stoichiometry = 0 kJ/mol of formula units
Final energy = -5.066 eV per atom
Crystal system = triclinic

Geometry as Quantum ESPRESSO input:
```
&SYSTEM
  ibrav = 0, nat = 16, ntyp = 3
/
ATOMIC_SPECIES
Al 26.98 Al.upf
Cu 63.55 Cu.upf
Ni 58.69 Ni.upf
CELL_PARAMETERS angstrom
5.016 0.000 0.000
1.668 6.104 0.000
2.022 0.677 6.243
ATOMIC_POSITIONS crystal
Al 0.104 0.428 0.193
Al 0.346 0.834 0.047
Al 0.392 0.292 0.553
Al 0.608 0.708 0.447
Al 0.654 0.166 0.953
Al 0.896 0.572 0.807
Cu 0.114 0.707 0.425
Cu 0.143 0.921 0.701
Cu 0.402 0.539 0.819
Cu 0.598 0.461 0.181
Cu 0.857 0.079 0.299
Cu 0.886 0.293 0.575
Ni 0.149 0.203 0.921
Ni 0.354 0.063 0.307
Ni 0.646 0.937 0.693
Ni 0.851 0.797 0.079
```

Density functional theory data (GGA-PBEsol) for AlZn2CuNi after structural relaxation. Values from VASP.

DFT formation energy = 0.92 eV/atom
Final energy = -2.633 eV per atom
Crystal system = tetragonal

Geometry as Quantum ESPRESSO input:
```
&SYSTEM
  ibrav = 0, nat = 5, ntyp = 4
/
ATOMIC_SPECIES
Al 26.98 Al.upf
Zn 65.41 Zn.upf
Cu 63.55 Cu.upf
Ni 58.69 Ni.upf
CELL_PARAMETERS angstrom
4.544 0.000 0.000
0.000 4.544 0.000
0.000 0.000 4.270
ATOMIC_POSITIONS crystal
Al 0.000 0.000 0.000
Zn 0.000 0.500 0.000
Zn 0.500 0.000 0.000
Cu 0.500 0.500 0.500
Ni 0.000 0.000 0.500
```

Density functional theory data (GGA-PBEsol) for AlCu2O after structural relaxation. Values from VASP.

Formation energy from raw total energies = 0.69 eV/f.u.
Final energy = -4.329 eV per atom
Crystal system = cubic

Geometry as Quantum ESPRESSO input:
```
&SYSTEM
  ibrav = 0, nat = 4, ntyp = 3
/
ATOMIC_SPECIES
Al 26.98 Al.upf
Cu 63.55 Cu.upf
O 16.00 O.upf
CELL_PARAMETERS angstrom
0.000 2.855 2.855
2.855 0.000 2.855
2.855 2.855 0.000
ATOMIC_POSITIONS crystal
Al 0.000 0.000 0.000
Cu 0.250 0.250 0.250
Cu 0.750 0.750 0.750
O 0.500 0.500 0.500
```

Density functional theory data (GGA-PBEsol) for AlCuO2 after structural relaxation. Values from VASP.

Formation energy from raw total energies = -8.39 eV/f.u.
Final energy = -6.828 eV per atom
Crystal system = hexagonal

Geometry as Quantum ESPRESSO input:
```
&SYSTEM
  ibrav = 0, nat = 8, ntyp = 3
/
ATOMIC_SPECIES
Al 26.98 Al.upf
Cu 63.55 Cu.upf
O 16.00 O.upf
CELL_PARAMETERS angstrom
2.845 0.000 0.000
-1.423 2.464 0.000
0.000 0.000 11.270
ATOMIC_POSITIONS crystal
Al 0.000 0.000 0.000
Al 0.000 0.000 0.500
Cu 0.333 0.667 0.250
Cu 0.667 0.333 0.750
O 0.333 0.667 0.086
O 0.333 0.667 0.414
O 0.667 0.333 0.586
O 0.667 0.333 0.914
```

- Look up the final energy of the first one.
  -5.066 eV per atom